# FeSiCl2

A PBEsol-optimized structure of FeSiCl2 (SCAN, Alexandria).

extended XYZ file:
```
4
Lattice="3.084 0.000 0.000 1.542 2.671 0.000 1.542 0.890 8.658" Properties=species:S:1:pos:R:3 pbc="T T T"
Fe 0.000 0.000 0.000
Cl 1.542 0.890 6.522
Cl 4.626 2.671 2.136
Si 3.084 1.781 4.329
```

Properties
The uncorrected formation energy comes out at 20.6 kJ/mol of atoms. As for the density of states at the Fermi level: 2.5 states/eV/cell.



# FeSiTe2Cl

A PBEsol-optimized structure of FeSiTe2Cl (SCAN, Alexandria).

extended XYZ file:
```
5
Lattice="4.515 0.000 0.000 0.000 5.203 0.000 0.000 0.000 5.203" Properties=species:S:1:pos:R:3 pbc="T T T"
Fe 2.257 0.000 0.000
Te 0.000 0.000 2.601
Te 0.000 2.601 0.000
Cl 2.257 2.601 2.601
Si 0.000 0.000 0.000
```

Properties
The uncorrected formation energy comes out at 58.6 kJ/mol of atoms. As for the density of states at the Fermi level: 4.6 states/eV/cell.



# SrFeCl2

A PBEsol-optimized structure of SrFeCl2 (SCAN, Alexandria).

extended XYZ file:
```
4
Lattice="-1.644 4.210 1.988 -1.173 0.176 4.789 2.845 2.520 3.146" Properties=species:S:1:pos:R:3 pbc="T T T"
Fe -0.822 2.105 0.994
Sr 0.836 1.348 3.968
Cl -0.814 3.831 3.475
Cl 0.842 3.075 6.448
```

Properties
The uncorrected formation energy comes out at -102.3 kJ/mol of atoms. As for the density of states at the Fermi level: 0.8 states/eV/cell.



# Sr2FeCl

A PBEsol-optimized structure of Sr2FeCl (SCAN, Alexandria).

extended XYZ file:
```
4
Lattice="3.436 0.000 0.000 0.000 5.468 0.000 0.000 0.000 5.468" Properties=species:S:1:pos:R:3 pbc="T T T"
Fe 1.718 0.000 0.000
Sr 0.000 0.000 2.734
Sr 0.000 2.734 0.000
Cl 1.718 2.734 2.734
```

Properties
The uncorrected formation energy comes out at -38.4 kJ/mol of atoms. As for the density of states at the Fermi level: 3.4 states/eV/cell.



# SrFe2Cl

A PBEsol-optimized structure of SrFe2Cl (SCAN, Alexandria).

extended XYZ file:
```
4
Lattice="3.257 0.000 0.000 0.000 3.257 0.000 0.000 0.000 7.674" Properties=species:S:1:pos:R:3 pbc="T T T"
Fe 1.628 1.628 1.475
Fe 0.000 0.000 0.707
Cl 1.628 1.628 5.529
Sr 0.000 0.000 3.800
```

Properties
The uncorrected formation energy comes out at -17.9 kJ/mol of atoms. As for the density of states at the Fermi level: 2.1 states/eV/cell.



# Sr2FeCl

A PBEsol-optimized structure of Sr2FeCl (SCAN, Alexandria).

extended XYZ file:
```
4
Lattice="-2.491 -2.674 -1.637 3.948 -0.475 -0.335 -1.745 -3.109 7.733" Properties=species:S:1:pos:R:3 pbc="T T T"
Sr 0.919 -1.729 1.426
Sr -1.207 -4.528 4.336
Cl -1.246 -1.337 -0.818
Fe -0.872 -1.554 3.867
```

Properties
The uncorrected formation energy comes out at -51.6 kJ/mol of atoms. As for the density of states at the Fermi level: 2.2 states/eV/cell.



# Sr2FeCl

A PBEsol-optimized structure of Sr2FeCl (SCAN, Alexandria).

extended XYZ file:
```
4
Lattice="-0.289 2.218 3.104 -3.519 -1.357 0.642 3.360 -6.401 4.886" Properties=species:S:1:pos:R:3 pbc="T T T"
Fe -1.039 -1.217 3.131
Cl 1.778 -3.386 2.585
Sr 0.293 -3.754 5.067
Sr 0.201 -0.383 0.292
```

Properties
The uncorrected formation energy comes out at -28.3 kJ/mol of atoms. As for the density of states at the Fermi level: 2.3 states/eV/cell.



# Sr4FeCl

A PBEsol-optimized structure of Sr4FeCl (SCAN, Alexandria).

extended XYZ file:
```
6
Lattice="7.133 0.000 0.000 3.566 6.177 0.000 3.566 2.059 5.824" Properties=species:S:1:pos:R:3 pbc="T T T"
Sr 8.927 3.082 2.180
Sr 5.339 3.082 2.180
Sr 7.133 6.190 2.180
Sr 7.133 4.118 5.109
Fe 0.000 0.000 0.000
Cl 10.699 6.177 4.368
```

Properties
The uncorrected formation energy comes out at 53.5 kJ/mol of atoms. As for the density of states at the Fermi level: 5.5 states/eV/cell.



# SrFeCl2

A PBEsol-optimized structure of SrFeCl2 (SCAN, Alexandria).

extended XYZ file:
```
4
Lattice="4.163 0.000 -0.162 0.000 4.050 0.000 -1.963 0.000 5.219" Properties=species:S:1:pos:R:3 pbc="T T T"
Sr 0.198 2.025 4.111
Cl 2.220 2.025 1.959
Cl -1.898 0.000 5.065
Fe 2.900 0.000 1.589
```

Properties
The uncorrected formation energy comes out at -97.1 kJ/mol of atoms. As for the density of states at the Fermi level: 2.2 states/eV/cell.



# SrFe2Cl

A PBEsol-optimized structure of SrFe2Cl (SCAN, Alexandria).

extended XYZ file:
```
4
Lattice="3.372 0.000 0.000 1.686 4.977 -0.063 1.686 1.798 4.641" Properties=species:S:1:pos:R:3 pbc="T T T"
Cl 1.686 1.254 0.847
Fe 3.372 6.739 4.553
Fe 5.058 5.619 3.796
Sr 3.372 3.328 2.248
```

Properties
The uncorrected formation energy comes out at 21.5 kJ/mol of atoms. As for the density of states at the Fermi level: 1.2 states/eV/cell.



# Sr2FeCl

A PBEsol-optimized structure of Sr2FeCl (SCAN, Alexandria).

extended XYZ file:
```
4
Lattice="3.955 0.000 0.000 1.978 3.425 0.000 1.978 1.142 7.997" Properties=species:S:1:pos:R:3 pbc="T T T"
Cl 3.955 2.284 3.000
Fe 1.978 1.142 3.003
Sr 5.933 3.425 5.195
Sr 5.933 3.425 0.798
```

Properties
The uncorrected formation energy comes out at -3.5 kJ/mol of atoms. As for the density of states at the Fermi level: 2.6 states/eV/cell.



# SrFe2Cl

A PBEsol-optimized structure of SrFe2Cl (SCAN, Alexandria).

extended XYZ file:
```
4
Lattice="3.148 0.000 0.000 0.000 5.259 0.000 0.000 -2.629 5.169" Properties=species:S:1:pos:R:3 pbc="T T T"
Fe 0.000 -1.315 2.584
Fe 0.000 1.315 2.584
Cl 1.574 2.629 0.000
Sr 1.574 0.000 0.000
```

Properties
The uncorrected formation energy comes out at 27.6 kJ/mol of atoms. As for the density of states at the Fermi level: 1.9 states/eV/cell.



# SrFe2Cl

A PBEsol-optimized structure of SrFe2Cl (SCAN, Alexandria).

extended XYZ file:
```
4
Lattice="-1.574 1.470 2.530 -4.004 -3.144 -0.664 2.209 -3.537 3.429" Properties=species:S:1:pos:R:3 pbc="T T T"
Fe 1.775 -2.843 2.756
Fe 0.434 -0.695 0.673
Sr -2.789 -0.837 0.933
Cl -1.684 -2.606 2.648
```

Properties
The uncorrected formation energy comes out at 37.1 kJ/mol of atoms. As for the density of states at the Fermi level: 2.8 states/eV/cell.



# SrFe2Cl

A PBEsol-optimized structure of SrFe2Cl (SCAN, Alexandria).

extended XYZ file:
```
4
Lattice="3.192 0.000 0.000 0.000 3.307 0.000 0.000 -1.654 7.075" Properties=species:S:1:pos:R:3 pbc="T T T"
Cl 1.596 0.000 4.299
Fe 1.596 1.654 1.326
Fe 0.000 0.000 2.198
Sr 0.000 1.654 6.177
```

Properties
The uncorrected formation energy comes out at -21.1 kJ/mol of atoms. As for the density of states at the Fermi level: 1.6 states/eV/cell.



# TaFeCl2

A PBEsol-optimized structure of TaFeCl2 (SCAN, Alexandria).

extended XYZ file:
```
4
Lattice="4.460 0.000 0.000 2.230 3.862 0.000 2.230 1.287 3.641" Properties=species:S:1:pos:R:3 pbc="T T T"
Fe 4.460 2.575 1.821
Ta 2.230 1.287 0.910
Cl 0.000 0.000 0.000
Cl 6.690 3.862 2.731
```

Properties
The uncorrected formation energy comes out at 65.6 kJ/mol of atoms. As for the density of states at the Fermi level: 1.5 states/eV/cell.



# TaFeCl

A PBEsol-optimized structure of TaFeCl (SCAN, Alexandria).

extended XYZ file:
```
3
Lattice="-0.093 -3.188 -2.336 1.913 -3.290 1.069 -2.039 -3.201 1.105" Properties=species:S:1:pos:R:3 pbc="T T T"
Cl -0.055 -2.420 -0.040
Fe 0.000 0.000 0.000
Ta -0.109 -4.840 -0.080
```

Properties
The uncorrected formation energy comes out at 106.8 kJ/mol of atoms. As for the density of states at the Fermi level: 2.8 states/eV/cell.



# TaFeCl2

A PBEsol-optimized structure of TaFeCl2 (SCAN, Alexandria).

extended XYZ file:
```
4
Lattice="2.857 0.000 0.000 0.000 4.137 0.000 0.000 0.000 5.366" Properties=species:S:1:pos:R:3 pbc="T T T"
Cl 0.000 0.000 0.000
Cl 1.428 0.000 2.683
Fe 1.428 2.068 0.000
Ta 0.000 2.068 2.683
```

Properties
The uncorrected formation energy comes out at 29.4 kJ/mol of atoms. As for the density of states at the Fermi level: 2.3 states/eV/cell.



# Ta2FeCl

A PBEsol-optimized structure of Ta2FeCl (SCAN, Alexandria).

extended XYZ file:
```
4
Lattice="-2.117 -1.486 1.265 -1.854 -0.750 -3.985 4.404 -2.677 0.950" Properties=species:S:1:pos:R:3 pbc="T T T"
Fe 0.202 -2.146 -2.184
Cl -1.901 -1.251 -1.375
Ta 0.251 -2.799 0.410
Ta 0.327 -4.748 -1.753
```

Properties
The uncorrected formation energy comes out at 50.1 kJ/mol of atoms. As for the density of states at the Fermi level: 3.1 states/eV/cell.



# TaFeCl

A PBEsol-optimized structure of TaFeCl (SCAN, Alexandria).

extended XYZ file:
```
3
Lattice="-0.492 2.868 -0.394 -2.336 -1.704 -0.515 -0.251 -0.065 6.302" Properties=species:S:1:pos:R:3 pbc="T T T"
Ta -1.993 0.762 1.578
Fe -1.077 0.334 3.782
Cl -0.010 0.003 0.034
```

Properties
The uncorrected formation energy comes out at 9.7 kJ/mol of atoms. As for the density of states at the Fermi level: 1.3 states/eV/cell.



# Ta2FeCl

A PBEsol-optimized structure of Ta2FeCl (SCAN, Alexandria).

extended XYZ file:
```
4
Lattice="-2.168 -0.099 1.888 -1.162 -3.566 -2.686 3.256 -2.153 2.460" Properties=species:S:1:pos:R:3 pbc="T T T"
Fe -0.037 -2.909 0.831
Ta 1.628 -1.076 1.230
Ta -0.581 -1.783 -1.343
Cl -1.084 -0.049 0.944
```

Properties
The uncorrected formation energy comes out at 45.9 kJ/mol of atoms. As for the density of states at the Fermi level: 2.4 states/eV/cell.